# 1
# PBE-GGA CdAg3Hg3, optimized geometry
# Formation energy from the elements = 0.436 eV per atom
# Fermi-level density of states = 5.239 states/eV/cell
# Total magnetic moment = 0.0 μB per formula unit
# Final energy = -14.64 eV for the cell shown
data_CdAg3Hg3
_chemical_formula_sum 'Cd2 Ag6 Hg6'
_space_group_name_H-M_alt 'P m -3 n'
_space_group_IT_number 223
_space_group_name_Hall '-P 4n 2 3'
_cell_length_a 7.863
_cell_length_b 7.863
_cell_length_c 7.863
_cell_angle_alpha 90.00
_cell_angle_beta 90.00
_cell_angle_gamma 90.00
loop_
_atom_site_label
_atom_site_fract_x
_atom_site_fract_y
_atom_site_fract_z
Cd1 0.000 0.000 0.000
Ag1 0.000 0.250 0.500
Hg1 0.000 0.500 0.250

# 2
# PBE-GGA K12NaAu6, optimized geometry
# Formation energy from the elements = -0.198 eV per atom
# Fermi-level density of states = 17.678 states/eV/cell
# Total magnetic moment = 0.0 μB per formula unit
# Final energy = -75.82 eV for the cell shown
data_K12NaAu6
_chemical_formula_sum 'K24 Na2 Au12'
_space_group_name_H-M_alt 'I m -3'
_space_group_IT_number 204
_space_group_name_Hall '-I 2 2 3'
_cell_length_a 12.010
_cell_length_b 12.010
_cell_length_c 12.010
_cell_angle_alpha 90.00
_cell_angle_beta 90.00
_cell_angle_gamma 90.00
loop_
_atom_site_label
_atom_site_fract_x
_atom_site_fract_y
_atom_site_fract_z
K1 0.000 0.179 0.315
Na1 0.000 0.000 0.000
Au1 0.000 0.381 0.500

# 3
# PBE-GGA CsLa2Ga2, optimized geometry
# Formation energy from the elements = -0.163 eV per atom
# E above lowest polymorph = 0.000 eV/atom
# Fermi-level density of states = 8.782 states/eV/cell
# Total magnetic moment = 0.0 μB per formula unit
# Final energy = -35.15 eV for the cell shown
data_CsLa2Ga2
_chemical_formula_sum 'Cs2 La4 Ga4'
_space_group_name_H-M_alt 'P 4/m b m'
_space_group_IT_number 127
_space_group_name_Hall '-P 4 2ab'
_cell_length_a 9.166
_cell_length_b 9.166
_cell_length_c 3.672
_cell_angle_alpha 90.00
_cell_angle_beta 90.00
_cell_angle_gamma 90.00
loop_
_atom_site_label
_atom_site_fract_x
_atom_site_fract_y
_atom_site_fract_z
Cs1 0.000 0.000 0.000
La1 0.164 0.336 0.000
Ga1 0.124 0.624 0.500

# 4
# PBE-GGA VRuWSe2, optimized geometry
# Fermi-level density of states = 9.012 states/eV/cell
# Formation energy from raw total energies = 143.28 kJ/mol of atoms
# Total magnetic moment = 0.6 μB per formula unit
# Final energy = -30.89 eV for the cell shown
data_VRuWSe2
_chemical_formula_sum 'V1 Ru1 W1 Se2'
_space_group_name_H-M_alt 'P 4/m m m'
_space_group_IT_number 123
_space_group_name_Hall '-P 4 2'
_cell_length_a 4.755
_cell_length_b 4.755
_cell_length_c 4.731
_cell_angle_alpha 90.00
_cell_angle_beta 90.00
_cell_angle_gamma 90.00
loop_
_atom_site_label
_atom_site_fract_x
_atom_site_fract_y
_atom_site_fract_z
V1 0.000 0.000 0.000
Ru1 0.500 0.500 0.500
W1 0.500 0.500 0.000
Se1 0.000 0.500 0.500

# 5
# PBE-GGA Na2HfMgSe4, optimized geometry
# Formation energy from raw total energies = -123.81 kJ/mol of atoms
# Total magnetic moment = 0.0 μB per formula unit
# Final energy = -38.39 eV for the cell shown
data_Na2HfMgSe4
_chemical_formula_sum 'Na2 Hf1 Mg1 Se4'
_space_group_name_H-M_alt 'P 1 2/m 1'
_space_group_IT_number 10
_cell_length_a 6.845
_cell_length_b 3.932
_cell_length_c 7.312
_cell_angle_alpha 90.00
_cell_angle_beta 107.99
_cell_angle_gamma 90.00
loop_
_space_group_symop_operation_xyz
'x,y,z'
'-x,-y,-z'
'-x,y,-z'
'x,-y,z'
loop_
_atom_site_label
_atom_site_fract_x
_atom_site_fract_y
_atom_site_fract_z
Na1 0.000 0.000 0.000
Na2 0.500 0.500 0.000
Hf1 0.000 0.500 0.500
Mg1 0.500 0.000 0.500
Se1 0.232 0.000 0.719
Se2 0.255 0.500 0.286

# 6
# PBE-GGA PaGe2Se6, optimized geometry
# Fermi-level density of states = 21.888 states/eV/cell
# Formation energy from raw total energies = -51.24 kJ/mol of atoms
# Total magnetic moment = 0.0 μB per formula unit
# Final energy = -177.67 eV for the cell shown
data_PaGe2Se6
_chemical_formula_sum 'Pa4 Ge8 Se24'
_space_group_name_H-M_alt 'C 1 2/c 1'
_space_group_IT_number 15
_cell_length_a 13.286
_cell_length_b 11.798
_cell_length_c 6.815
_cell_angle_alpha 90.00
_cell_angle_beta 99.12
_cell_angle_gamma 90.00
loop_
_space_group_symop_operation_xyz
'x,y,z'
'-x,-y,-z'
'-x,y,-z+1/2'
'x,-y,z+1/2'
'x+1/2,y+1/2,z'
'-x+1/2,-y+1/2,-z'
'-x+1/2,y+1/2,-z+1/2'
'x+1/2,-y+1/2,z+1/2'
loop_
_atom_site_label
_atom_site_fract_x
_atom_site_fract_y
_atom_site_fract_z
Pa1 0.000 0.108 0.250
Ge1 0.186 0.425 0.318
Se1 0.120 0.073 0.624
Se2 0.122 0.409 0.630
Se3 0.134 0.258 0.127

# 7
# PBE-GGA K3MnIn3I8, optimized geometry
# Fermi-level density of states = 0.000 states/eV/cell
# Formation energy from raw total energies = -81.58 kJ/mol of atoms
# Total magnetic moment = 5.1 μB per formula unit
# Final energy = -137.29 eV for the cell shown
data_K3MnIn3I8
_chemical_formula_sum 'K9 Mn3 In9 I24'
_space_group_name_H-M_alt 'R -3 m'
_space_group_IT_number 166
_space_group_name_Hall '-R 3 2"'
_cell_length_a 9.8937
_cell_length_b 9.8937
_cell_length_c 24.4694
_cell_angle_alpha 90.00
_cell_angle_beta 90.00
_cell_angle_gamma 120.00
loop_
_atom_site_label
_atom_site_fract_x
_atom_site_fract_y
_atom_site_fract_z
K1 0.0000 0.5000 0.0000
Mn1 0.0000 0.0000 0.5000
In1 0.0000 0.5000 0.5000
I1 0.0000 0.0000 0.2495
I2 0.0496 0.5248 0.2361

# 8
# PBE-GGA LaBeGe3, optimized geometry
# Formation energy from the elements = -0.222 eV per atom
# E above lowest polymorph = 0.101 eV/atom
# Fermi-level density of states = 2.883 states/eV/cell
# Total magnetic moment = 0.0 μB per formula unit
# Final energy = -94.47 eV for the cell shown
data_LaBeGe3
_chemical_formula_sum 'La4 Be4 Ge12'
_space_group_name_H-M_alt 'P 1 21/c 1'
_space_group_IT_number 14
_cell_length_a 8.030
_cell_length_b 5.926
_cell_length_c 9.728
_cell_angle_alpha 90.00
_cell_angle_beta 117.57
_cell_angle_gamma 90.00
loop_
_space_group_symop_operation_xyz
'x,y,z'
'-x,-y,-z'
'-x,y+1/2,-z+1/2'
'x,-y+1/2,z+1/2'
loop_
_atom_site_label
_atom_site_fract_x
_atom_site_fract_y
_atom_site_fract_z
La1 0.232 0.249 0.079
Be1 0.172 0.747 0.444
Ge1 0.009 0.000 0.249
Ge2 0.290 0.740 0.222
Ge3 0.491 0.690 0.564

Q: The highest final energy belongs to which entry?
A: CdAg3Hg3

Q: Look up the final energy of the second one.
A: -75.82 eV for the cell shown